Entry from the Alexandria database: a relaxed structure of LaScIn3 (GGA-PBEsol).

Output
calculated formation energy	0.88	eV per atom
theoretical density	4700	kg/m³

The structure in CIF format:
```
data_LaScIn3
_chemical_formula_sum 'La1 Sc1 In3'
_cell_length_a 5.715
_cell_length_b 5.715
_cell_length_c 5.715
_cell_angle_alpha 90.00
_cell_angle_beta 90.00
_cell_angle_gamma 90.00
_symmetry_space_group_name_H-M 'P m -3 m'
_symmetry_Int_Tables_number 221
_symmetry_space_group_name_Hall '-P 4 2 3'
loop_
_atom_site_label
_atom_site_fract_x
_atom_site_fract_y
_atom_site_fract_z
La1 0.000 0.000 0.000
Sc1 0.500 0.500 0.500
In1 0.000 0.000 0.500
```